1.
Here is an optimized crystal structure of Pm2NbZn from the Alexandria database. Energies are from PBE.

Cell: 11.227 11.227 11.227 Å, 16.56 16.56 16.56°
Sites, in units of the cell vectors:
Pm (0.090, 0.090, 0.090)
Pm (0.910, 0.910, 0.910)
Nb (0.000, 0.000, 0.000)
Zn (0.500, 0.500, 0.500)

Summary:
Space group   R-3m, No. 166
E   -4.6880 eV per atom
Crystal system   trigonal


2.
Here is an optimized crystal structure of PmNbZn2 from the Alexandria database. Energies are from PBE.

Cell: 9.382 9.382 9.382 Å, 19.84 19.84 19.84°
Sites, in units of the cell vectors:
Pm (0.000, 0.000, 0.000)
Nb (0.500, 0.500, 0.500)
Zn (0.241, 0.241, 0.241)
Zn (0.759, 0.759, 0.759)

Summary:
Space group   R-3m, No. 166
E   -4.1313 eV per atom
Crystal system   trigonal


3.
Here is an optimized crystal structure of PmZrNb from the Alexandria database. Energies are from PBE.

Cell: 7.183 6.191 5.561 Å, 75.14 56.41 48.45°
Sites, in units of the cell vectors:
Pm (0.169, 0.831, 0.169)
Pm (0.831, 0.169, 0.831)
Zr (0.329, 0.329, 0.671)
Zr (0.671, 0.671, 0.329)
Nb (0.250, 0.250, 0.250)
Nb (0.750, 0.750, 0.750)

Summary:
Space group   Fmmm, No. 69
E   -7.4892 eV per atom
Crystal system   orthorhombic


4.
Here is an optimized crystal structure of PmZrNb4 from the Alexandria database. Energies are from PBE.

Cell: 5.662 5.662 5.662 Å, 60.00 60.00 60.00°
Sites, in units of the cell vectors:
Pm (0.000, 0.000, 0.000)
Zr (0.750, 0.750, 0.750)
Nb (0.375, 0.375, 0.375)
Nb (0.375, 0.375, 0.874)
Nb (0.375, 0.874, 0.375)
Nb (0.874, 0.375, 0.375)

Summary:
Space group   F-43m, No. 216
E   -8.7680 eV per atom
Crystal system   cubic


5.
Here is an optimized crystal structure of Pr3Nb from the Alexandria database. Energies are from PBE.

Cell: 5.954 5.954 5.954 Å, 130.59 130.59 72.46°
Sites, in units of the cell vectors:
Pr (0.000, 0.000, 0.000)
Pr (0.250, 0.750, 0.500)
Pr (0.750, 0.250, 0.500)
Nb (0.500, 0.500, 0.000)

Summary:
Space group   I4/mmm, No. 139
E   -5.7126 eV per atom
Crystal system   tetragonal


6.
Here is an optimized crystal structure of PrNb4 from the Alexandria database. Energies are from PBE.

Cell: 4.944 4.944 4.944 Å, 90.00 90.00 90.00°
Sites, in units of the cell vectors:
Pr (0.000, 0.000, 0.000)
Nb (0.000, 0.000, 0.500)
Nb (0.000, 0.500, 0.000)
Nb (0.500, 0.000, 0.000)
Nb (0.500, 0.500, 0.500)

Summary:
Space group   Pm-3m, No. 221
E   -6.8042 eV per atom
Crystal system   cubic


- Which value of E does entry 6 give?
  -6.8042 eV per atom